Entry 1:
Below is a relaxed Cs12Rh3Cl5 crystal, with properties calculated at the PBE-GGA level.

Unit cell a=17.784 b=17.784 c=17.784 alpha=109.47 beta=109.47 gamma=109.47
Positions (direct):
1 Cs 0.276 0.414 0.828
2 Cs 0.328 0.552 0.414
3 Cs 0.328 0.776 0.414
4 Cs 0.914 0.086 0.862
5 Cs 0.948 0.362 0.276
6 Cs 0.448 0.672 0.086
7 Cs 0.776 0.448 0.362
8 Cs 0.052 0.638 0.724
9 Cs 0.086 0.914 0.138
10 Cs 0.828 0.914 0.276
11 Cs 0.224 0.672 0.086
12 Cs 0.862 0.586 0.914
13 Cs 0.172 0.086 0.724
14 Cs 0.414 0.138 0.586
15 Cs 0.552 0.328 0.914
16 Cs 0.172 0.086 0.948
17 Cs 0.638 0.586 0.914
18 Cs 0.138 0.724 0.552
19 Cs 0.724 0.138 0.052
20 Cs 0.672 0.224 0.586
21 Cs 0.586 0.724 0.672
22 Cs 0.724 0.586 0.172
23 Cs 0.638 0.052 0.224
24 Cs 0.914 0.828 0.552
25 Cs 0.052 0.414 0.828
26 Cs 0.914 0.828 0.776
27 Cs 0.086 0.172 0.224
28 Cs 0.552 0.224 0.138
29 Cs 0.672 0.448 0.586
30 Cs 0.776 0.328 0.914
31 Cs 0.224 0.552 0.638
32 Cs 0.414 0.362 0.586
33 Cs 0.586 0.862 0.414
34 Cs 0.828 0.914 0.052
35 Cs 0.086 0.914 0.362
36 Cs 0.414 0.276 0.328
37 Cs 0.948 0.586 0.172
38 Cs 0.448 0.776 0.862
39 Cs 0.414 0.052 0.328
40 Cs 0.138 0.414 0.086
41 Cs 0.914 0.086 0.638
42 Cs 0.362 0.414 0.086
43 Cs 0.586 0.638 0.414
44 Cs 0.362 0.948 0.776
45 Cs 0.862 0.276 0.448
46 Cs 0.276 0.862 0.948
47 Cs 0.586 0.948 0.672
48 Cs 0.086 0.172 0.448
49 Cl 0.500 0.500 0.000
50 Cl 0.500 0.000 0.500
51 Cl 0.875 0.250 0.625
52 Cl 0.125 0.375 0.250
53 Cl 0.000 0.000 0.500
54 Cl 0.000 0.000 0.000
55 Cl 0.625 0.750 0.875
56 Cl 0.625 0.875 0.250
57 Cl 0.000 0.500 0.500
58 Cl 0.000 0.500 0.000
59 Cl 0.875 0.625 0.750
60 Cl 0.500 0.500 0.500
61 Cl 0.500 0.000 0.000
62 Cl 0.750 0.125 0.875
63 Cl 0.375 0.125 0.750
64 Cl 0.750 0.625 0.375
65 Cl 0.250 0.875 0.125
66 Cl 0.250 0.375 0.625
67 Cl 0.125 0.750 0.375
68 Cl 0.375 0.250 0.125
69 Rh 0.125 0.250 0.875
70 Rh 0.625 0.375 0.750
71 Rh 0.875 0.750 0.125
72 Rh 0.125 0.875 0.750
73 Rh 0.875 0.125 0.250
74 Rh 0.250 0.125 0.375
75 Rh 0.375 0.750 0.625
76 Rh 0.750 0.375 0.125
77 Rh 0.250 0.625 0.875
78 Rh 0.625 0.250 0.375
79 Rh 0.750 0.875 0.625
80 Rh 0.375 0.625 0.250

Values from the calculation:
formation energy without anion corrections	-0.606	eV per atom
V	54.12	Å³/atom



Entry 2:
Below is a relaxed LiInCl2 crystal, with properties calculated at the PBE-GGA level.

Unit cell a=6.483 b=6.483 c=5.915 alpha=71.48 beta=71.48 gamma=32.31
Positions (direct):
1 Li 0.672 0.672 0.702
2 Cl 0.274 0.274 0.451
3 Cl 0.050 0.050 0.972
4 In 0.504 0.504 0.375

Values from the calculation:
E above lowest polymorph	0.40	eV/f.u.
formation energy without anion corrections	-1.206	eV per atom
V	31.36	Å³/atom



Entry 3:
Below is a relaxed ZnGePt crystal, with properties calculated at the PBE-GGA level.

Unit cell a=3.450 b=3.450 c=4.659 alpha=111.73 beta=111.73 gamma=90.00
Positions (direct):
1 Zn 0.612 0.612 0.225
2 Ge 0.291 0.291 0.582
3 Pt 0.947 0.947 0.893

Values from the calculation:
formation energy from the elements	-0.79	eV/f.u.
V	15.75	Å³/atom



Question: Among the records above, which one has the lowest V?
Answer: ZnGePt